1.
Compound: CePrErTh
Source: Alexandria via LeMat-Bulk
Functional: PBE-GGA
Structure: relaxed

Cell and atoms, written as POSCAR:
```
CePrErTh
1.0
3.564 -0.001 0.002
-1.782 3.087 -0.001
-1.788 -1.027 11.549
Er Ce Th Pr
1 1 1 1
direct
0.476 0.136 0.626
0.303 0.550 0.869
0.131 0.963 0.109
0.968 0.382 0.365
```

## Properties
Excess energy over the best structure of this formula in the dataset: 0.000 eV per atom
Formation enthalpy at 0 K: 1.1 kcal/mol of atoms
N(E_F): 7.74 states/eV/cell
DFT total energy: -5.6278 eV/atom

2.
Compound: PbS6F2
Source: Alexandria via LeMat-Bulk
Functional: PBE-GGA
Structure: relaxed

Cell and atoms, written as POSCAR:
```
PbS6F2
1.0
-1.139 3.809 -0.244
-5.553 -0.913 4.940
5.116 2.273 4.980
S F Pb
6 2 1
direct
0.096 0.446 0.740
0.904 0.554 0.260
0.150 0.314 0.314
0.095 0.740 0.446
0.850 0.686 0.686
0.905 0.260 0.554
0.500 0.871 0.129
0.500 0.129 0.871
0.000 0.000 0.000
```

## Properties
N(E_F): 0.00 states/eV/cell
Raw formation energy: -0.6263 eV/atom
DFT total energy: -4.2058 eV/atom

3.
Compound: Sr2Hg2Pt
Source: Alexandria via LeMat-Bulk
Functional: PBE-GGA
Structure: relaxed

Cell and atoms, written as POSCAR:
```
Sr2Hg2Pt
1.0
7.733 0.000 0.000
0.000 7.733 0.000
0.000 0.000 4.755
Sr Pt Hg
4 2 4
direct
0.179 0.679 0.500
0.821 0.321 0.500
0.679 0.821 0.500
0.321 0.179 0.500
0.500 0.500 0.000
0.000 0.000 0.000
0.134 0.366 0.000
0.866 0.634 0.000
0.634 0.134 0.000
0.366 0.866 0.000
```

## Properties
Excess energy over the best structure of this formula in the dataset: 0.200 eV per atom
Formation enthalpy at 0 K: -9.6 kcal/mol of atoms
N(E_F): 6.45 states/eV/cell
DFT total energy: -2.4182 eV/atom

4.
Compound: Zr5Tc3
Source: Alexandria via LeMat-Bulk
Functional: PBE-GGA
Structure: relaxed

Cell and atoms, written as POSCAR:
```
Zr5Tc3
1.0
-2.450 7.461 0.466
-7.096 1.631 2.978
2.355 0.438 5.372
Zr Tc
10 6
direct
0.000 0.762 0.250
0.333 0.333 0.500
0.000 0.238 0.750
0.762 0.000 0.750
0.238 0.000 0.250
0.762 0.238 0.250
0.667 0.667 0.500
0.333 0.333 0.000
0.667 0.667 0.000
0.238 0.762 0.750
0.000 0.403 0.250
0.597 0.403 0.750
0.000 0.597 0.750
0.403 0.597 0.250
0.404 0.000 0.750
0.597 0.000 0.250
```

## Properties
Excess energy over the best structure of this formula in the dataset: 0.101 eV per atom
Formation enthalpy at 0 K: -4.4 kcal/mol of atoms
N(E_F): 15.57 states/eV/cell
DFT total energy: -9.4217 eV/atom

5.
Compound: YMoPt
Source: Alexandria via LeMat-Bulk
Functional: PBE-GGA
Structure: relaxed

Cell and atoms, written as POSCAR:
```
YMoPt
1.0
3.160 0.000 0.000
-1.580 2.737 0.000
0.000 0.000 6.862
Pt Y Mo
1 1 1
direct
0.333 0.667 0.313
0.667 0.333 0.666
0.000 0.000 0.021
```

## Properties
Excess energy over the best structure of this formula in the dataset: 0.369 eV per atom
Formation enthalpy at 0 K: 4.5 kcal/mol of atoms
N(E_F): 3.31 states/eV/cell
DFT total energy: -7.5821 eV/atom

6.
Compound: BeP2AuS
Source: Alexandria via LeMat-Bulk
Functional: PBE-GGA
Structure: relaxed

Cell and atoms, written as POSCAR:
```
BeP2AuS
1.0
-3.240 -2.072 1.922
-0.648 -2.301 -3.573
2.776 -3.010 1.436
P S Be Au
2 1 1 1
direct
0.000 0.500 0.000
0.500 0.000 0.000
0.000 0.000 0.500
0.000 0.000 0.000
0.500 0.500 0.500
```

## Properties
Excess energy over the best structure of this formula in the dataset: 0.000 eV per atom
N(E_F): 2.84 states/eV/cell
Raw formation energy: 0.6968 eV/atom
DFT total energy: -3.6933 eV/atom

7.
Compound: BeTcOs2
Source: Alexandria via LeMat-Bulk
Functional: PBE-GGA
Structure: relaxed

Cell and atoms, written as POSCAR:
```
BeTcOs2
1.0
4.554 -0.005 -0.029
3.749 2.586 -0.029
0.747 0.232 4.568
Be Os Tc
1 2 1
direct
0.750 0.750 0.750
0.998 0.998 0.988
0.502 0.502 0.512
0.250 0.250 0.250
```

## Properties
Formation enthalpy at 0 K: 3.9 kcal/mol of atoms
N(E_F): 4.49 states/eV/cell
DFT total energy: -8.9707 eV/atom

8.
Compound: AcPuSnPt
Source: Alexandria via LeMat-Bulk
Functional: PBE-GGA
Structure: relaxed

Cell and atoms, written as POSCAR:
```
AcPuSnPt
1.0
5.399 0.000 0.000
2.700 4.676 0.000
2.700 1.559 4.408
Sn Ac Pt Pu
1 1 1 1
direct
0.000 0.000 0.000
0.750 0.750 0.750
0.500 0.500 0.500
0.250 0.250 0.250
```

## Properties
Formation enthalpy at 0 K: -11.9 kcal/mol of atoms
N(E_F): 13.58 states/eV/cell
DFT total energy: -7.6352 eV/atom

9.
Compound: Ni2TeAsPd
Source: Alexandria via LeMat-Bulk
Functional: PBE-GGA
Structure: relaxed

Cell and atoms, written as POSCAR:
```
Ni2TeAsPd
1.0
-0.602 1.924 3.200
-5.907 -0.163 -1.014
-0.750 -6.499 3.767
Te Ni As Pd
2 4 2 2
direct
0.250 0.206 0.618
0.750 0.794 0.382
0.750 0.512 0.127
0.750 0.492 0.626
0.250 0.508 0.374
0.250 0.488 0.873
0.750 0.735 0.861
0.250 0.265 0.139
0.250 0.853 0.098
0.750 0.147 0.902
```

## Properties
N(E_F): 7.54 states/eV/cell
Raw formation energy: -0.2882 eV/atom
DFT total energy: -5.1976 eV/atom

10.
Compound: K4BeIr
Source: Alexandria via LeMat-Bulk
Functional: PBE-GGA
Structure: relaxed

Cell and atoms, written as POSCAR:
```
K4BeIr
1.0
-6.427 -0.683 -0.257
-3.737 5.079 -1.441
-3.055 0.255 -5.696
K Ir Be
4 1 1
direct
0.374 0.877 0.374
0.374 0.374 0.877
0.374 0.374 0.374
0.877 0.374 0.374
0.000 0.000 0.000
0.750 0.750 0.750
```

## Properties
Formation enthalpy at 0 K: 29.3 kcal/mol of atoms
N(E_F): 4.53 states/eV/cell
DFT total energy: -1.5591 eV/atom

11.
Compound: Tc2RuCl
Source: Alexandria via LeMat-Bulk
Functional: PBE-GGA
Structure: relaxed

Cell and atoms, written as POSCAR:
```
Tc2RuCl
1.0
-0.090 -0.256 5.053
2.000 -1.986 4.202
2.857 3.316 0.276
Tc Ru Cl
2 1 1
direct
0.710 0.710 0.763
0.010 0.010 0.035
0.281 0.281 0.222
0.499 0.499 0.479
```

## Properties
Excess energy over the best structure of this formula in the dataset: 0.263 eV per atom
N(E_F): 3.87 states/eV/cell
Raw formation energy: 0.5451 eV/atom
DFT total energy: -7.4185 eV/atom

12.
Compound: NdNpGaO6
Source: Alexandria via LeMat-Bulk
Functional: PBE-GGA
Structure: relaxed

Cell and atoms, written as POSCAR:
```
NdNpGaO6
1.0
5.341 0.000 0.000
-2.670 4.625 0.000
0.000 0.000 10.381
Np O Ga Nd
2 12 2 2
direct
0.333 0.667 0.750
0.667 0.333 0.250
0.638 0.993 0.359
0.646 0.638 0.641
0.354 0.993 0.141
0.362 0.007 0.641
0.993 0.638 0.859
0.646 0.007 0.859
0.007 0.646 0.359
0.993 0.354 0.641
0.638 0.646 0.141
0.362 0.354 0.859
0.354 0.362 0.359
0.007 0.362 0.141
0.667 0.333 0.750
0.333 0.667 0.250
0.000 0.000 0.500
0.000 0.000 0.000
```

## Properties
Raw formation energy: -2.6701 eV/atom
DFT total energy: -8.2795 eV/atom

13.
Compound: Li2YCdOs
Source: Alexandria via LeMat-Bulk
Functional: PBE-GGA
Structure: relaxed

Cell and atoms, written as POSCAR:
```
Li2YCdOs
1.0
-0.508 0.352 5.208
4.802 -0.317 0.489
0.376 5.221 -0.317
Li Cd Y Os
2 1 1 1
direct
0.500 0.000 0.000
0.000 0.000 0.500
0.500 0.500 0.500
0.000 0.000 0.000
0.000 0.500 0.000
```

## Properties
Formation enthalpy at 0 K: 28.4 kcal/mol of atoms
N(E_F): 2.47 states/eV/cell
DFT total energy: -3.2554 eV/atom

14.
Compound: LiZrNbIr
Source: Alexandria via LeMat-Bulk
Functional: PBE-GGA
Structure: relaxed

Cell and atoms, written as POSCAR:
```
LiZrNbIr
1.0
4.582 0.000 0.000
2.291 3.968 0.000
2.291 1.323 3.741
Nb Ir Li Zr
1 1 1 1
direct
0.250 0.250 0.250
0.500 0.500 0.500
0.000 0.000 0.000
0.750 0.750 0.750
```

## Properties
Formation enthalpy at 0 K: -5.3 kcal/mol of atoms
N(E_F): 3.81 states/eV/cell
DFT total energy: -7.5790 eV/atom

15.
Compound: Pu3GaAu2
Source: Alexandria via LeMat-Bulk
Functional: PBE-GGA
Structure: relaxed

Cell and atoms, written as POSCAR:
```
Pu3GaAu2
1.0
-1.906 -2.672 -2.054
2.968 -0.212 -2.478
3.815 -6.674 5.142
Pu Ga Au
3 1 2
direct
0.000 0.000 0.663
0.000 0.000 0.337
0.000 0.000 0.000
0.500 0.500 0.500
0.500 0.500 0.829
0.500 0.500 0.171
```

## Properties
Formation enthalpy at 0 K: -8.3 kcal/mol of atoms
N(E_F): 22.37 states/eV/cell
DFT total energy: -9.1234 eV/atom

16.
Compound: LiAg4Pd7
Source: Alexandria via LeMat-Bulk
Functional: PBE-GGA
Structure: relaxed

Cell and atoms, written as POSCAR:
```
LiAg4Pd7
1.0
2.831 0.000 0.000
0.000 4.032 0.000
0.000 0.000 34.848
Pd Ag Li
14 8 2
direct
0.680 0.752 0.108
0.680 0.748 0.352
0.680 0.752 0.892
0.180 0.248 0.392
0.680 0.751 0.187
0.680 0.748 0.648
0.180 0.248 0.608
0.680 0.751 0.813
0.180 0.252 0.148
0.180 0.252 0.852
0.679 0.262 0.000
0.180 0.249 0.313
0.180 0.249 0.687
0.179 0.738 0.500
0.180 0.250 0.771
0.179 0.252 0.933
0.179 0.252 0.067
0.680 0.750 0.729
0.679 0.748 0.567
0.180 0.250 0.229
0.679 0.748 0.433
0.680 0.750 0.271
0.679 0.238 0.500
0.179 0.762 0.000
```

## Properties
Formation enthalpy at 0 K: -0.3 kcal/mol of atoms
N(E_F): 35.35 states/eV/cell
DFT total energy: -4.1534 eV/atom

17.
Compound: FeSiRu
Source: Alexandria via LeMat-Bulk
Functional: PBE-GGA
Structure: relaxed

Cell and atoms, written as POSCAR:
```
FeSiRu
1.0
3.918 0.000 0.000
1.959 3.393 0.000
1.959 1.131 3.199
Fe Ru Si
1 1 1
direct
0.000 0.000 0.000
0.500 0.500 0.500
0.750 0.750 0.750
```

## Properties
N(E_F): 5.00 states/eV/cell
Raw formation energy: -0.1070 eV/atom
DFT total energy: -7.8275 eV/atom

18.
Compound: PrEuIn
Source: Alexandria via LeMat-Bulk
Functional: PBE-GGA
Structure: relaxed

Cell and atoms, written as POSCAR:
```
PrEuIn
1.0
3.859 0.000 0.000
0.000 3.859 0.000
-1.930 -1.930 6.706
Eu In Pr
1 1 1
direct
0.633 0.633 0.267
0.286 0.286 0.572
0.931 0.931 0.862
```

## Properties
Excess energy over the best structure of this formula in the dataset: 0.000 eV per atom
Formation enthalpy at 0 K: -6.4 kcal/mol of atoms
N(E_F): 3.31 states/eV/cell
DFT total energy: -6.2088 eV/atom

19.
Compound: Zn3GeTe
Source: Alexandria via LeMat-Bulk
Functional: PBE-GGA
Structure: relaxed

Cell and atoms, written as POSCAR:
```
Zn3GeTe
1.0
-1.005 3.723 2.975
-4.657 -1.413 0.196
1.013 -2.804 3.851
Zn Te Ge
3 1 1
direct
0.000 0.500 0.000
0.500 0.000 0.000
0.000 0.000 0.500
0.500 0.500 0.500
0.000 0.000 0.000
```

## Properties
Excess energy over the best structure of this formula in the dataset: 0.000 eV per atom
N(E_F): 2.23 states/eV/cell
Raw formation energy: 0.2406 eV/atom
DFT total energy: -2.0755 eV/atom

20.
Compound: TlCu2HPd
Source: Alexandria via LeMat-Bulk
Functional: PBE-GGA
Structure: relaxed

Cell and atoms, written as POSCAR:
```
TlCu2HPd
1.0
4.099 0.000 0.000
0.000 4.099 0.000
0.000 0.000 3.893
Cu Tl H Pd
2 1 1 1
direct
0.000 0.500 0.000
0.500 0.000 0.000
0.500 0.500 0.500
0.000 0.000 0.000
0.000 0.000 0.500
```

## Properties
N(E_F): 1.28 states/eV/cell
DFT total energy: -3.7358 eV/atom

21.
Compound: MgAlTe2
Source: Alexandria via LeMat-Bulk
Functional: PBE-GGA
Structure: relaxed

Cell and atoms, written as POSCAR:
```
MgAlTe2
1.0
7.780 0.066 -0.025
6.683 3.982 -0.025
0.014 0.004 4.074
Mg Te Al
1 2 1
direct
0.201 0.201 0.125
0.012 0.012 0.125
0.738 0.738 0.625
0.549 0.549 0.625
```

## Properties
N(E_F): 0.91 states/eV/cell
Raw formation energy: -0.4420 eV/atom
DFT total energy: -3.3472 eV/atom

22.
Compound: AlFe2Si
Source: Alexandria via LeMat-Bulk
Functional: PBE-GGA
Structure: relaxed

Cell and atoms, written as POSCAR:
```
AlFe2Si
1.0
4.552 -0.001 -0.003
3.735 2.603 -0.003
1.271 0.399 3.833
Si Fe Al
1 2 1
direct
0.489 0.489 0.563
0.006 0.006 0.054
0.750 0.750 0.689
0.256 0.256 0.193
```

## Properties
N(E_F): 3.37 states/eV/cell
Raw formation energy: -0.3090 eV/atom
DFT total energy: -6.8317 eV/atom

23.
Compound: Si2OsPb
Source: Alexandria via LeMat-Bulk
Functional: PBE-GGA
Structure: relaxed

Cell and atoms, written as POSCAR:
```
Si2OsPb
1.0
-0.914 -1.541 -4.271
2.790 -3.628 0.712
-2.533 -1.720 1.163
Si Pb Os
2 1 1
direct
0.000 0.000 0.000
0.500 0.500 0.000
0.000 0.500 0.500
0.500 0.000 0.500
```

## Properties
N(E_F): 2.62 states/eV/cell
Raw formation energy: 0.9213 eV/atom
DFT total energy: -5.5248 eV/atom

24.
Compound: LaMg4
Source: Alexandria via LeMat-Bulk
Functional: PBE-GGA
Structure: relaxed

Cell and atoms, written as POSCAR:
```
LaMg4
1.0
-2.255 2.255 6.820
2.255 -2.255 6.820
2.255 2.255 -6.820
Mg La
4 1
direct
0.395 0.395 0.000
0.605 0.605 0.000
0.250 0.750 0.500
0.750 0.250 0.500
0.000 0.000 0.000
```

## Properties
Formation enthalpy at 0 K: 0.0 kcal/mol of atoms
N(E_F): 4.34 states/eV/cell
DFT total energy: -2.2592 eV/atom

25.
Compound: TbNd2Te
Source: Alexandria via LeMat-Bulk
Functional: PBE-GGA
Structure: relaxed

Cell and atoms, written as POSCAR:
```
TbNd2Te
1.0
4.008 0.000 0.000
2.004 3.471 0.000
2.004 1.157 9.909
Nd Te Tb
2 1 1
direct
0.073 0.073 0.782
0.261 0.261 0.217
0.667 0.667 0.000
0.500 0.500 0.501
```

## Properties
Excess energy over the best structure of this formula in the dataset: 0.029 eV per atom
N(E_F): 4.62 states/eV/cell
Raw formation energy: -0.5471 eV/atom
DFT total energy: -4.8740 eV/atom

26.
Compound: BePt
Source: Alexandria via LeMat-Bulk
Functional: PBE-GGA
Structure: relaxed

Cell and atoms, written as POSCAR:
```
BePt
1.0
-0.602 -0.549 3.491
-2.457 -0.982 -2.419
1.866 -3.937 -0.297
Be Pt
2 2
direct
0.000 0.000 0.500
0.000 0.000 0.000
0.333 0.667 0.250
0.667 0.333 0.750
```

## Properties
Formation enthalpy at 0 K: -13.3 kcal/mol of atoms
N(E_F): 0.27 states/eV/cell
DFT total energy: -5.4600 eV/atom